Record 1
K2ScC | Alexandria | PBE | relaxed; calculated total energy = -29.91 eV per cell; ΔE_f = 0.6987 eV per atom; space-group type = I-42d (122)
1.0
-6.2607 6.2607 2.0934
6.2607 -6.2607 2.0934
6.2607 6.2607 -2.0934
K Sc C
4 2 2
Direct
0.3750 0.1877 0.3127 K
0.8123 0.1250 0.1873 K
0.8750 0.0623 0.6873 K
0.9377 0.6250 0.8127 K
0.2500 0.7500 0.5000 Sc
0.5000 0.5000 0.0000 Sc
0.0000 0.0000 0.0000 C
0.7500 0.2500 0.5000 C

Record 2
Sr4ZnTe | Alexandria | PBE | relaxed; formation energy without anion corrections = 0.1887 eV/atom; calculated total energy = -10.01 eV per cell; space-group type = F-43m (216)
1.0
0.0000 5.1098 5.1098
5.1098 0.0000 5.1098
5.1098 5.1098 0.0000
Sr Zn Te
4 1 1
Direct
0.1247 0.1247 0.1247 Sr
0.1247 0.1247 0.6260 Sr
0.1247 0.6260 0.1247 Sr
0.6260 0.1247 0.1247 Sr
0.5000 0.5000 0.5000 Zn
0.7500 0.7500 0.7500 Te

Number 1: V 328.21 Å³/cell. Number 2: V 266.84 Å³/cell.